! Ce5Si2H PBE-GGA relaxed; values from VASP
! Uncorrected energy ... -5.796 eV/atom
! ρ ... 6.78 g cm⁻³
! Symmetry ... No. 8
! Total magnetic moment ... 2.5 Bohr magnetons per cell
&SYSTEM
  ibrav = 0, nat = 8, ntyp = 3
/
ATOMIC_SPECIES
Ce 140.12 Ce.upf
Si 28.09 Si.upf
H 1.01 H.upf
ATOMIC_POSITIONS crystal
Ce 0.000 0.000 0.000
Ce 0.076 0.533 0.530
Ce 0.149 0.149 0.637
Ce 0.533 0.076 0.530
Ce 0.545 0.545 0.078
Si 0.032 0.524 0.018
Si 0.524 0.032 0.018
H 0.810 0.810 0.532
CELL_PARAMETERS angstrom
3.925 -4.770 0.000
3.925 4.770 0.000
-3.745 0.000 4.956

---

! SrTlPd2 PBE-GGA relaxed; values from VASP
! Uncorrected energy ... -3.799 eV/atom
! Energy of formation ... -0.190 eV/atom
! ρ ... 7.06 g cm⁻³
! Symmetry ... No. 122
! Total magnetic moment ... 0.0 Bohr magnetons per cell
&SYSTEM
  ibrav = 0, nat = 8, ntyp = 3
/
ATOMIC_SPECIES
Sr 87.62 Sr.upf
Tl 204.38 Tl.upf
Pd 106.42 Pd.upf
ATOMIC_POSITIONS crystal
Sr 0.000 0.000 0.000
Sr 0.750 0.250 0.500
Tl 0.250 0.750 0.500
Tl 0.500 0.500 0.000
Pd 0.302 0.625 0.177
Pd 0.375 0.552 0.677
Pd 0.448 0.125 0.823
Pd 0.875 0.698 0.323
CELL_PARAMETERS angstrom
-2.529 2.529 9.283
2.529 -2.529 9.283
2.529 2.529 -9.283

---

! MnNb2Rh PBE-GGA relaxed; values from VASP
! Uncorrected energy ... -9.362 eV/atom
! Energy of formation ... -0.197 eV/atom
! ρ ... 9.29 g cm⁻³
! Symmetry ... No. 123
! Total magnetic moment ... 0.0 Bohr magnetons per cell
&SYSTEM
  ibrav = 0, nat = 4, ntyp = 3
/
ATOMIC_SPECIES
Mn 54.94 Mn.upf
Nb 92.91 Nb.upf
Rh 102.91 Rh.upf
ATOMIC_POSITIONS crystal
Mn 0.000 0.000 0.000
Nb 0.500 0.500 0.228
Nb 0.500 0.500 0.772
Rh 0.000 0.000 0.500
CELL_PARAMETERS angstrom
2.997 0.000 0.000
0.000 2.997 0.000
0.000 0.000 6.840

---

! ZnCo3Pd PBE-GGA relaxed; values from VASP
! Uncorrected energy ... -4.378 eV/atom
! Energy relative to the lowest polymorph listed for this composition ... 0.0 kJ per mole of atoms
! Energy of formation ... 1.179 eV/atom
! ρ ... 7.30 g cm⁻³
! Symmetry ... No. 221
! Total magnetic moment ... 5.1 Bohr magnetons per cell
&SYSTEM
  ibrav = 0, nat = 5, ntyp = 3
/
ATOMIC_SPECIES
Zn 65.41 Zn.upf
Co 58.93 Co.upf
Pd 106.42 Pd.upf
ATOMIC_POSITIONS crystal
Zn 0.000 0.000 0.000
Co 0.000 0.000 0.500
Co 0.000 0.500 0.000
Co 0.500 0.000 0.000
Pd 0.500 0.500 0.500
CELL_PARAMETERS angstrom
4.297 0.000 0.000
0.000 4.297 0.000
0.000 0.000 4.297

---

! Li2AuCl PBE-GGA relaxed; values from VASP
! Formation energy (no corrections) ... -83.4 kJ per mole of atoms
! Uncorrected energy ... -3.102 eV/atom
! Energy relative to the lowest polymorph listed for this composition ... 13.9 kJ per mole of atoms
! ρ ... 6.02 g cm⁻³
! Symmetry ... No. 47
! Total magnetic moment ... 0.0 Bohr magnetons per cell
&SYSTEM
  ibrav = 0, nat = 4, ntyp = 3
/
ATOMIC_SPECIES
Li 6.94 Li.upf
Au 196.97 Au.upf
Cl 35.45 Cl.upf
ATOMIC_POSITIONS crystal
Li 0.000 0.000 0.000
Li 0.000 0.500 0.500
Au 0.500 0.000 0.500
Cl 0.500 0.500 0.000
CELL_PARAMETERS angstrom
3.143 0.000 0.000
0.000 4.622 0.000
0.000 0.000 4.678

---

! Sb5Ru3 PBE-GGA relaxed; values from VASP
! Formation energy (no corrections) ... 20.4 kJ per mole of atoms
! Uncorrected energy ... -5.843 eV/atom
! Energy relative to the lowest polymorph listed for this composition ... 0.0 kJ per mole of atoms
! ρ ... 9.12 g cm⁻³
! Symmetry ... No. 193
! Total magnetic moment ... 0.0 Bohr magnetons per cell
&SYSTEM
  ibrav = 0, nat = 16, ntyp = 2
/
ATOMIC_SPECIES
Sb 121.76 Sb.upf
Ru 101.07 Ru.upf
ATOMIC_POSITIONS crystal
Sb 0.000 0.254 0.250
Sb 0.000 0.746 0.750
Sb 0.254 0.000 0.250
Sb 0.254 0.254 0.750
Sb 0.333 0.667 0.000
Sb 0.333 0.667 0.500
Sb 0.667 0.333 0.000
Sb 0.667 0.333 0.500
Sb 0.746 0.000 0.750
Sb 0.746 0.746 0.250
Ru 0.000 0.425 0.750
Ru 0.000 0.575 0.250
Ru 0.425 0.000 0.750
Ru 0.425 0.425 0.250
Ru 0.575 0.000 0.250
Ru 0.575 0.575 0.750
CELL_PARAMETERS angstrom
8.125 0.000 0.000
-4.063 7.037 0.000
0.000 0.000 5.807

---

What did the first record say?
! Ce5Si2H PBE-GGA relaxed; values from VASP
! Uncorrected energy ... -5.796 eV/atom
! ρ ... 6.78 g cm⁻³
! Symmetry ... No. 8
! Total magnetic moment ... 2.5 Bohr magnetons per cell
&SYSTEM
  ibrav = 0, nat = 8, ntyp = 3
/
ATOMIC_SPECIES
Ce 140.12 Ce.upf
Si 28.09 Si.upf
H 1.01 H.upf
ATOMIC_POSITIONS crystal
Ce 0.000 0.000 0.000
Ce 0.076 0.533 0.530
Ce 0.149 0.149 0.637
Ce 0.533 0.076 0.530
Ce 0.545 0.545 0.078
Si 0.032 0.524 0.018
Si 0.524 0.032 0.018
H 0.810 0.810 0.532
CELL_PARAMETERS angstrom
3.925 -4.770 0.000
3.925 4.770 0.000
-3.745 0.000 4.956

---

What is the formula in the second record?
SrTlPd2

---

Copy entry 2 word for word.
! SrTlPd2 PBE-GGA relaxed; values from VASP
! Uncorrected energy ... -3.799 eV/atom
! Energy of formation ... -0.190 eV/atom
! ρ ... 7.06 g cm⁻³
! Symmetry ... No. 122
! Total magnetic moment ... 0.0 Bohr magnetons per cell
&SYSTEM
  ibrav = 0, nat = 8, ntyp = 3
/
ATOMIC_SPECIES
Sr 87.62 Sr.upf
Tl 204.38 Tl.upf
Pd 106.42 Pd.upf
ATOMIC_POSITIONS crystal
Sr 0.000 0.000 0.000
Sr 0.750 0.250 0.500
Tl 0.250 0.750 0.500
Tl 0.500 0.500 0.000
Pd 0.302 0.625 0.177
Pd 0.375 0.552 0.677
Pd 0.448 0.125 0.823
Pd 0.875 0.698 0.323
CELL_PARAMETERS angstrom
-2.529 2.529 9.283
2.529 -2.529 9.283
2.529 2.529 -9.283

---

Please write out number 5 again, unchanged.
! Li2AuCl PBE-GGA relaxed; values from VASP
! Formation energy (no corrections) ... -83.4 kJ per mole of atoms
! Uncorrected energy ... -3.102 eV/atom
! Energy relative to the lowest polymorph listed for this composition ... 13.9 kJ per mole of atoms
! ρ ... 6.02 g cm⁻³
! Symmetry ... No. 47
! Total magnetic moment ... 0.0 Bohr magnetons per cell
&SYSTEM
  ibrav = 0, nat = 4, ntyp = 3
/
ATOMIC_SPECIES
Li 6.94 Li.upf
Au 196.97 Au.upf
Cl 35.45 Cl.upf
ATOMIC_POSITIONS crystal
Li 0.000 0.000 0.000
Li 0.000 0.500 0.500
Au 0.500 0.000 0.500
Cl 0.500 0.500 0.000
CELL_PARAMETERS angstrom
3.143 0.000 0.000
0.000 4.622 0.000
0.000 0.000 4.678